Entry 1:
An optimized crystal structure of Tm3FeNi8, computed with PBE.

Computed properties:
DFT formation energy: -0.363 eV per atom

a = 4.939 Å, b = 4.939 Å, c = 8.551 Å
α = 73.22°, β = 73.22°, γ = 60.00°
Atoms (fractional coordinates):
1 Tm 0.990 0.990 0.031
2 Ni 0.939 0.442 0.680
3 Ni 0.189 0.189 0.433
4 Ni 0.939 0.436 0.188
5 Tm 0.507 0.507 0.479
6 Ni 0.436 0.436 0.188
7 Ni 0.939 0.939 0.680
8 Tm 0.377 0.377 0.868
9 Ni 0.689 0.689 0.934
10 Ni 0.442 0.939 0.680
11 Fe 0.866 0.866 0.402
12 Ni 0.436 0.939 0.188

Entry 2:
An optimized crystal structure of LiDyRhAu, computed with PBE.

Computed properties:
DFT formation energy: -0.583 eV per atom

a = 4.381 Å, b = 4.381 Å, c = 4.895 Å
α = 116.58°, β = 116.58°, γ = 90.00°
Atoms (fractional coordinates):
1 Li 0.000 0.000 0.000
2 Au 0.750 0.250 0.500
3 Dy 0.500 0.500 0.000
4 Rh 0.250 0.750 0.500

Entry 3:
An optimized crystal structure of DyTm2Pd, computed with PBE.

Computed properties:
E above lowest polymorph: 174 meV/atom
DFT formation energy: -0.317 eV per atom

a = 3.671 Å, b = 3.671 Å, c = 9.713 Å
α = 79.11°, β = 79.11°, γ = 60.00°
Atoms (fractional coordinates):
1 Tm 0.267 0.267 0.198
2 Pd 0.666 0.666 0.001
3 Dy 0.501 0.501 0.497
4 Tm 0.065 0.065 0.804

Entry 4:
An optimized crystal structure of K2GaF6, computed with PBE.

Computed properties:
E above lowest polymorph: 12 meV/atom
E_form (uncorrected): -2.4332 eV per atom

a = 5.920 Å, b = 5.997 Å, c = 8.352 Å
α = 90.00°, β = 91.39°, γ = 90.00°
Atoms (fractional coordinates):
1 F 0.273 0.726 0.000
2 F 0.228 0.774 0.500
3 F 0.996 0.000 0.272
4 F 0.772 0.226 0.500
5 K 0.995 0.500 0.748
6 Ga 0.000 0.000 0.500
7 F 0.272 0.274 0.000
8 K 0.495 0.000 0.248
9 F 0.496 0.500 0.771
10 F 0.504 0.500 0.229
11 Ga 0.500 0.500 0.000
12 K 0.005 0.500 0.252
13 F 0.728 0.726 0.000
14 F 0.004 0.000 0.728
15 F 0.227 0.226 0.500
16 F 0.727 0.274 0.000
17 K 0.505 0.000 0.752
18 F 0.773 0.774 0.500

Entry 5:
An optimized crystal structure of Tb2Y7Tm3, computed with PBE.

Computed properties:
E above lowest polymorph: 11 meV/atom
DFT formation energy: 0.092 eV per atom

a = 3.580 Å, b = 5.762 Å, c = 18.607 Å
α = 93.78°, β = 90.00°, γ = 90.00°
Atoms (fractional coordinates):
1 Y 0.500 0.182 0.181
2 Tm 0.500 0.500 0.000
3 Y 0.000 0.000 0.000
4 Y 0.000 0.322 0.857
5 Y 0.500 0.742 0.463
6 Y 0.000 0.678 0.143
7 Y 0.500 0.258 0.537
8 Tm 0.000 0.219 0.368
9 Tb 0.500 0.295 0.704
10 Tb 0.500 0.705 0.296
11 Tm 0.000 0.781 0.632
12 Y 0.500 0.818 0.819

Entry 6:
An optimized crystal structure of Ac2Ge3Pd, computed with PBE.

Computed properties:
E above lowest polymorph: 25 meV/atom
DFT formation energy: -0.816 eV per atom

a = 4.465 Å, b = 4.520 Å, c = 7.537 Å
α = 90.00°, β = 90.00°, γ = 90.00°
Atoms (fractional coordinates):
1 Pd 0.500 0.500 0.328
2 Ge 0.500 0.000 0.835
3 Ac 0.000 0.000 0.500
4 Ac 0.000 0.500 0.001
5 Ge 0.500 0.000 0.174
6 Ge 0.500 0.500 0.662

Listing electronic total energy for the structures above in their given order: -6.040; -4.869; -5.001; -4.261; -5.568; -5.359 eV/atom.